Record 1
{
  "formula": "Pm5Pu2S12",
  "functional": "PBE",
  "state": "optimized geometry",
  "formation_energy_uncorrected_ev_per_atom": -1.741,
  "spacegroup": "C2/m (12)",
  "magmom_total_mub_per_cell": 7.000,
  "lattice": [[7.4764, 0.0000, 0.0000], [-3.7382, 7.7172, -0.0033], [0.0000, -2.7201, 8.6142]],
  "species": ["Pm", "Pm", "Pm", "Pm", "Pm", "Pu", "Pu", "S", "S", "S", "S", "S", "S", "S", "S", "S", "S", "S", "S"],
  "frac_coords": [[0.2951, 0.5901, 0.6366], [0.3117, 0.6235, 0.1761], [0.0000, 0.0000, 0.5000], [0.6883, 0.3765, 0.8239], [0.7049, 0.4099, 0.3634], [0.7480, 0.0000, 0.0000], [0.2520, 0.0000, 0.0000], [0.9952, 0.9903, 0.1928], [0.0946, 0.6499, 0.9097], [0.5554, 0.6499, 0.9097], [0.1031, 0.7021, 0.4336], [0.5991, 0.7021, 0.4336], [0.4976, 0.9952, 0.7867], [0.5024, 0.0048, 0.2133], [0.8969, 0.2979, 0.5664], [0.4009, 0.2979, 0.5664], [0.9054, 0.3501, 0.0903], [0.4446, 0.3501, 0.0903], [0.0048, 0.0097, 0.8072]]
}

Record 2
{
  "formula": "PmPu2S3",
  "functional": "PBE",
  "state": "optimized geometry",
  "relative_energy_ev_per_fu": 0.12,
  "formation_energy_uncorrected_ev_per_atom": -1.845,
  "spacegroup": "P6_3/mmc (194)",
  "magmom_total_mub_per_cell": 22.202,
  "lattice": [[3.9696, 0.0000, 0.0000], [-1.9848, 3.4377, 0.0000], [0.0000, 0.0000, 19.7490]],
  "species": ["Pm", "Pm", "Pu", "Pu", "Pu", "Pu", "S", "S", "S", "S", "S", "S"],
  "frac_coords": [[0.0000, 0.0000, 0.2500], [0.0000, 0.0000, 0.7500], [0.3333, 0.6667, 0.9172], [0.6667, 0.3333, 0.0828], [0.6667, 0.3333, 0.4172], [0.3333, 0.6667, 0.5828], [0.0000, 0.0000, 0.0000], [0.3333, 0.6667, 0.1621], [0.3333, 0.6667, 0.3379], [0.0000, 0.0000, 0.5000], [0.6667, 0.3333, 0.6621], [0.6667, 0.3333, 0.8379]]
}

Record 3
{
  "formula": "PmPu2S4",
  "functional": "PBE",
  "state": "optimized geometry",
  "formation_energy_uncorrected_ev_per_atom": -1.821,
  "spacegroup": "Cmcm (63)",
  "magmom_total_mub_per_cell": 21.839,
  "lattice": [[-0.9177, 3.7973, 0.1712], [-1.7178, -2.1466, -6.2556], [-12.0372, -3.1062, 4.3713]],
  "species": ["Pm", "Pm", "Pu", "Pu", "Pu", "Pu", "S", "S", "S", "S", "S", "S", "S", "S"],
  "frac_coords": [[0.6200, 0.2400, 0.7500], [0.3800, 0.7600, 0.2500], [0.1322, 0.2644, 0.4328], [0.8678, 0.7356, 0.9328], [0.1322, 0.2644, 0.0672], [0.8678, 0.7356, 0.5672], [0.7735, 0.5469, 0.1229], [0.7735, 0.5469, 0.3771], [0.2265, 0.4531, 0.8771], [0.2265, 0.4531, 0.6229], [0.9668, 0.9335, 0.7500], [0.0332, 0.0665, 0.2500], [0.5000, 0.0000, 0.0000], [0.5000, 0.0000, 0.5000]]
}

Record 4
{
  "formula": "Pm5PuS6",
  "functional": "PBE",
  "state": "optimized geometry",
  "formation_energy_uncorrected_ev_per_atom": -2.002,
  "spacegroup": "C2/m (12)",
  "magmom_total_mub_per_cell": 5.790,
  "lattice": [[-1.7543, 6.6460, -1.1813], [-4.9716, 0.2553, -4.8553], [-6.7033, -0.2212, 1.8726]],
  "species": ["S", "S", "S", "S", "S", "S", "Pu", "Pm", "Pm", "Pm", "Pm", "Pm"],
  "frac_coords": [[0.7527, 0.0826, 0.3287], [0.2473, 0.5886, 0.3287], [0.2489, 0.2460, 0.0000], [0.7511, 0.7540, 0.0000], [0.7527, 0.4114, 0.6713], [0.2473, 0.9174, 0.6713], [0.0000, 0.0000, 0.0000], [0.5000, 0.1695, 0.6610], [0.0000, 0.3326, 0.3348], [0.5000, 0.5000, 0.0000], [0.0000, 0.6674, 0.6652], [0.5000, 0.8305, 0.3390]]
}

Record 5
{
  "formula": "Pm4PuS7",
  "functional": "PBE",
  "state": "optimized geometry",
  "formation_energy_uncorrected_ev_per_atom": -1.981,
  "spacegroup": "Cm (8)",
  "magmom_total_mub_per_cell": 5.595,
  "lattice": [[3.9345, 0.0000, 0.0000], [-1.9672, 6.3778, -1.6922], [0.0000, -0.0236, 11.8471]],
  "species": ["Pm", "Pm", "Pm", "Pm", "Pu", "S", "S", "S", "S", "S", "S", "S"],
  "frac_coords": [[0.6974, 0.3948, 0.8075], [0.3031, 0.6063, 0.1928], [0.0000, 0.0001, 0.9990], [0.1142, 0.2285, 0.4245], [0.8851, 0.7703, 0.5771], [0.7383, 0.4765, 0.3507], [0.2646, 0.5292, 0.6498], [0.3404, 0.6809, 0.9499], [0.6599, 0.3198, 0.0507], [0.0418, 0.0836, 0.7829], [0.9585, 0.9170, 0.2156], [0.4965, 0.9931, 0.4997]]
}

Record 6
{
  "formula": "Pm4PuS4",
  "functional": "PBE",
  "state": "optimized geometry",
  "formation_energy_uncorrected_ev_per_atom": -1.700,
  "spacegroup": "I4/m (87)",
  "magmom_total_mub_per_cell": 6.050,
  "lattice": [[5.2733, 0.0010, 2.1143], [2.5923, 6.3119, 1.1708], [0.2890, -0.1221, 6.9135]],
  "species": ["Pm", "Pm", "Pm", "Pm", "Pu", "S", "S", "S", "S"],
  "frac_coords": [[0.6016, 0.5969, 0.2000], [0.3984, 0.4031, 0.8000], [0.1988, 0.2001, 0.4026], [0.8012, 0.7999, 0.5974], [0.0000, 0.0000, 0.0000], [0.9027, 0.3954, 0.7991], [0.0973, 0.6046, 0.2009], [0.2983, 0.7992, 0.6043], [0.7017, 0.2008, 0.3957]]
}

Record 7
{
  "formula": "PmPu3S4",
  "functional": "PBE",
  "state": "optimized geometry",
  "relative_energy_ev_per_fu": 0.03,
  "formation_energy_uncorrected_ev_per_atom": -1.837,
  "spacegroup": "Pm-3m (221)",
  "magmom_total_mub_per_cell": 16.931,
  "lattice": [[5.6323, 0.0000, 0.0000], [0.0000, 5.6323, 0.0000], [0.0000, 0.0000, 5.6323]],
  "species": ["Pm", "Pu", "Pu", "Pu", "S", "S", "S", "S"],
  "frac_coords": [[0.0000, 0.0000, 0.0000], [0.0000, 0.5000, 0.5000], [0.5000, 0.0000, 0.5000], [0.5000, 0.5000, 0.0000], [0.5000, 0.0000, 0.0000], [0.0000, 0.5000, 0.0000], [0.0000, 0.0000, 0.5000], [0.5000, 0.5000, 0.5000]]
}

Record 8
{
  "formula": "PmPuS2",
  "functional": "PBE",
  "state": "optimized geometry",
  "relative_energy_ev_per_fu": 0.24,
  "formation_energy_uncorrected_ev_per_atom": -1.859,
  "spacegroup": "P6_3/mmc (194)",
  "magmom_total_mub_per_cell": 11.717,
  "lattice": [[3.9367, 0.0000, 0.0000], [-1.9684, 3.4093, 0.0000], [0.0000, 0.0000, 13.5755]],
  "species": ["Pm", "Pm", "Pu", "Pu", "S", "S", "S", "S"],
  "frac_coords": [[0.0000, 0.0000, 0.5000], [0.0000, 0.0000, 0.0000], [0.6667, 0.3333, 0.2500], [0.3333, 0.6667, 0.7500], [0.3333, 0.6667, 0.3750], [0.6667, 0.3333, 0.8750], [0.6667, 0.3333, 0.6250], [0.3333, 0.6667, 0.1250]]
}

Record 9
{
  "formula": "PmPu2S3",
  "functional": "PBE",
  "state": "optimized geometry",
  "relative_energy_ev_per_fu": 0.00,
  "formation_energy_uncorrected_ev_per_atom": -1.864,
  "spacegroup": "Immm (71)",
  "magmom_total_mub_per_cell": 22.517,
  "lattice": [[-1.3839, -2.5171, -4.8424], [2.3800, -7.0086, 2.9629], [-5.4161, 2.0199, 3.7710]],
  "species": ["Pm", "Pm", "Pu", "Pu", "Pu", "Pu", "S", "S", "S", "S", "S", "S"],
  "frac_coords": [[0.9999, 0.7500, 0.0000], [0.0001, 0.2500, 0.0000], [0.6652, 0.5826, 0.3305], [0.6653, 0.0826, 0.3305], [0.3347, 0.9174, 0.6695], [0.3348, 0.4174, 0.6695], [0.5001, 0.2500, 0.0000], [0.4999, 0.7500, 0.0000], [0.1718, 0.0858, 0.3434], [0.8283, 0.4142, 0.6566], [0.1717, 0.5858, 0.3434], [0.8282, 0.9142, 0.6566]]
}

Record 10
{
  "formula": "PmPuS2",
  "functional": "PBE",
  "state": "optimized geometry",
  "relative_energy_ev_per_fu": 0.00,
  "formation_energy_uncorrected_ev_per_atom": -1.919,
  "spacegroup": "R-3m (166)",
  "magmom_total_mub_per_cell": 5.636,
  "lattice": [[3.9860, 0.0134, 0.0134], [1.9832, 3.4576, 0.0134], [1.9672, 1.1439, 6.5589]],
  "species": ["Pm", "Pu", "S", "S"],
  "frac_coords": [[0.5000, 0.5000, 0.5000], [0.0000, 0.0000, 0.0000], [0.7475, 0.7475, 0.7576], [0.2525, 0.2525, 0.2424]]
}